Here is a geometry-optimized CeThPa2 structure from the Alexandria database. Energies are from PBE-GGA.

Cell: 3.3509 3.3509 9.5907 Å, 90.00 90.00 90.00°
Closest atoms and distances in Å follow each position.
Fractional positions:
Ce 0.0000 0.0000 0.0000  8 Pa 3.33, 4 Ce 3.35
Th 0.0000 0.0000 0.5000  4 Th 3.35, 8 Pa 3.41
Pa 0.5000 0.5000 0.2444  4 Ce 3.33, 4 Pa 3.35, 4 Th 3.41
Pa 0.5000 0.5000 0.7556  4 Ce 3.33, 4 Pa 3.35, 4 Th 3.41

Computed properties:
- D(E_F) (states/eV/cell) = 7.2
- space-group type = P4/mmm
- distance to the lowest polymorph of the same formula (meV per atom) = 3
- energy of formation (eV per atom) = 0.08